# Ge2CF (GGA-PBE, optimized geometry)
# **E above lowest polymorph**: 277 meV/atom
# **E_tot**: -4.58 eV/atom
# **Fermi-level density of states**: 8.2 states/eV/cell
# **Magnetization**: 0.00 Bohr magnetons per cell
# **Formation energy (no corrections)**: 498 meV per atom
data_Ge2CF
_chemical_formula_sum 'Ge8 C4 F4'
_cell_length_a 5.876
_cell_length_b 5.876
_cell_length_c 5.876
_cell_angle_alpha 90.00
_cell_angle_beta 90.00
_cell_angle_gamma 90.00
_space_group_name_H-M_alt 'F m -3 m'
_space_group_IT_number 225
_space_group_name_Hall '-F 4 2 3'
loop_
_atom_site_label
_atom_site_type_symbol
_atom_site_fract_x
_atom_site_fract_y
_atom_site_fract_z
Ge1 Ge 0.250 0.250 0.250
C1 C 0.000 0.000 0.000
F1 F 0.000 0.000 0.500